(1)
! TlRuPt2 (PBE-GGA, relaxed); values from VASP
! * DFT formation energy: 0.98 eV per formula unit
! * N(E_F): 5.45 states/eV/cell
! * excess energy over the best structure of this formula in the dataset: 22 meV/atom
&SYSTEM
  ibrav = 0, nat = 4, ntyp = 3
/
ATOMIC_SPECIES
Pt 195.08 Pt.upf
Tl 204.38 Tl.upf
Ru 101.07 Ru.upf
ATOMIC_POSITIONS crystal
Pt 0.0000 0.0000 0.0000
Pt 0.2500 0.7500 0.5000
Tl 0.7500 0.2500 0.5000
Ru 0.5000 0.5000 0.0000
CELL_PARAMETERS angstrom
4.8661 -0.0094 0.0000
1.3129 4.6856 0.0000
-3.0895 -2.3381 2.9440

(2)
! Ho2AlGaPt6 (PBE-GGA, relaxed); values from VASP
! * DFT formation energy: -9.13 eV per formula unit
! * N(E_F): 4.05 states/eV/cell
&SYSTEM
  ibrav = 0, nat = 10, ntyp = 4
/
ATOMIC_SPECIES
Pt 195.08 Pt.upf
Ho 164.93 Ho.upf
Al 26.98 Al.upf
Ga 69.72 Ga.upf
ATOMIC_POSITIONS crystal
Pt 0.2526 0.2453 0.0068
Pt 0.7474 0.2520 0.9932
Pt 0.7552 0.7479 0.5043
Pt 0.2526 0.7480 0.0068
Pt 0.7474 0.7547 0.9932
Pt 0.2448 0.2521 0.4957
Ho 0.2017 0.7979 0.4040
Ho 0.7983 0.2021 0.5960
Al 0.5000 0.5000 0.0000
Ga 0.0000 0.0000 0.0000
CELL_PARAMETERS angstrom
8.2053 -0.1354 1.7804
0.0782 5.5763 0.0627
5.4873 2.6471 5.7769

(3)
! DyAgPbBr6 (PBE-GGA, relaxed); values from VASP
! * N(E_F): 0.00 states/eV/cell
! * ΔE_f (raw): -10.7 eV per formula unit
&SYSTEM
  ibrav = 0, nat = 18, ntyp = 4
/
ATOMIC_SPECIES
Br 79.90 Br.upf
Pb 207.20 Pb.upf
Dy 162.50 Dy.upf
Ag 107.87 Ag.upf
ATOMIC_POSITIONS crystal
Br 0.3463 0.3550 0.8710
Br 0.3550 0.0086 0.1290
Br 0.6537 0.6450 0.1290
Br 0.9914 0.3463 0.1290
Br 0.9914 0.6450 0.3710
Br 0.3550 0.3463 0.3710
Br 0.6450 0.6537 0.6290
Br 0.6450 0.9914 0.8710
Br 0.0086 0.3550 0.6290
Br 0.3463 0.9914 0.6290
Br 0.0086 0.6537 0.8710
Br 0.6537 0.0086 0.3710
Pb 0.0000 0.0000 0.5000
Pb 0.0000 0.0000 0.0000
Dy 0.3333 0.6667 0.7500
Dy 0.6667 0.3333 0.2500
Ag 0.3333 0.6667 0.2500
Ag 0.6667 0.3333 0.7500
CELL_PARAMETERS angstrom
-4.1751 -2.5164 -5.3605
5.9702 -3.6159 1.9441
-7.1514 -7.0369 8.8733